i) The following is a GGA-PBE calculation of crystalline Tb4Sm7Y at its relaxed geometry, from the Alexandria database.

Cell: 6.7489 6.7489 12.7716 Å, 114.97 114.97 52.77°
Fractional coordinates of all 12 atoms:
Tb: 0.0647 0.0647 0.3199
Tb: 0.3633 0.3633 0.2234
Tb: 0.6367 0.6367 0.7766
Tb: 0.9353 0.9353 0.6801
Sm: 0.0000 0.0000 0.0000
Sm: 0.2090 0.2090 0.9214
Sm: 0.2381 0.2381 0.6774
Sm: 0.3704 0.3704 0.5010
Sm: 0.6296 0.6296 0.4990
Sm: 0.7619 0.7619 0.3226
Sm: 0.7910 0.7910 0.0786
Y: 0.5000 0.5000 0.0000


ii) The following is a GGA-PBE calculation of crystalline Tb4Sm7Y at its relaxed geometry, from the Alexandria database.

Cell: 6.2920 7.2627 8.9554 Å, 89.99 76.48 89.99°
Fractional coordinates of all 12 atoms:
Tb: 0.2207 0.9997 0.3338
Tb: 0.2785 0.2488 0.6668
Tb: 0.7215 0.7512 0.3332
Tb: 0.7793 0.0003 0.6662
Sm: 0.0000 0.0000 0.0000
Sm: 0.2225 0.4998 0.3345
Sm: 0.2789 0.7512 0.6659
Sm: 0.4995 0.2483 0.9995
Sm: 0.5005 0.7517 0.0005
Sm: 0.7211 0.2488 0.3341
Sm: 0.7775 0.5002 0.6655
Y: 0.0000 0.5000 0.0000


Ordering by calculated energy gives the sequence ii), i), with the first entry being the most stable.


i) The following is a GGA-PBE calculation of crystalline Tb4Sm3Y8 at its relaxed geometry, from the Alexandria database.

Cell: 9.3097 9.3097 6.7705 Å, 111.32 111.32 87.26°
Fractional coordinates of all 15 atoms:
Tb: 0.0000 0.0000 0.0000
Tb: 0.0000 0.0000 0.5000
Tb: 0.0000 0.5000 0.0000
Tb: 0.5000 0.0000 0.0000
Sm: 0.0000 0.5000 0.5000
Sm: 0.5000 0.0000 0.5000
Sm: 0.5000 0.5000 0.0000
Y: 0.2522 0.7478 0.0000
Y: 0.2631 0.2631 0.0183
Y: 0.2672 0.2672 0.5024
Y: 0.3573 0.6427 0.5000
Y: 0.6427 0.3573 0.5000
Y: 0.7328 0.7328 0.4976
Y: 0.7369 0.7369 0.9817
Y: 0.7478 0.2522 0.0000


ii) The following is a GGA-PBE calculation of crystalline Tb4Sm3Y8 at its relaxed geometry, from the Alexandria database.

Cell: 12.4634 12.4634 12.4634 Å, 32.57 32.57 32.57°
Fractional coordinates of all 15 atoms:
Tb: 0.0000 0.0000 0.0000
Tb: 0.1641 0.1641 0.1641
Tb: 0.5000 0.5000 0.5000
Tb: 0.8359 0.8359 0.8359
Sm: 0.0000 0.5000 0.5000
Sm: 0.5000 0.0000 0.5000
Sm: 0.5000 0.5000 0.0000
Y: 0.2499 0.7492 0.7492
Y: 0.2508 0.2508 0.7501
Y: 0.2508 0.7501 0.2508
Y: 0.2542 0.2542 0.2542
Y: 0.7458 0.7458 0.7458
Y: 0.7492 0.2499 0.7492
Y: 0.7492 0.7492 0.2499
Y: 0.7501 0.2508 0.2508


Ordering by calculated energy gives the sequence ii), i), with the first entry being the most stable.


i) The following is a GGA-PBE calculation of crystalline Tb12Sm6Y at its relaxed geometry, from the Alexandria database.

Cell: 8.7497 8.7497 8.7497 Å, 98.66 98.66 98.66°
Fractional coordinates of all 19 atoms:
Tb: 0.0000 0.2584 0.7416
Tb: 0.0000 0.7416 0.2584
Tb: 0.1441 0.1441 0.4167
Tb: 0.1441 0.4167 0.1441
Tb: 0.2584 0.0000 0.7416
Tb: 0.2584 0.7416 0.0000
Tb: 0.4167 0.1441 0.1441
Tb: 0.5833 0.8559 0.8559
Tb: 0.7416 0.0000 0.2584
Tb: 0.7416 0.2584 0.0000
Tb: 0.8559 0.5833 0.8559
Tb: 0.8559 0.8559 0.5833
Sm: 0.1573 0.5963 0.5963
Sm: 0.4037 0.4037 0.8427
Sm: 0.4037 0.8427 0.4037
Sm: 0.5963 0.1573 0.5963
Sm: 0.5963 0.5963 0.1573
Sm: 0.8427 0.4037 0.4037
Y: 0.5000 0.5000 0.5000


ii) The following is a GGA-PBE calculation of crystalline Tb12Sm6Y at its relaxed geometry, from the Alexandria database.

Cell: 8.5896 8.5896 8.5896 Å, 88.79 88.79 88.79°
Fractional coordinates of all 19 atoms:
Tb: 0.0136 0.3563 0.2033
Tb: 0.2033 0.0136 0.3563
Tb: 0.2251 0.5629 0.4599
Tb: 0.3563 0.2033 0.0136
Tb: 0.4371 0.5401 0.7749
Tb: 0.4599 0.2251 0.5629
Tb: 0.5401 0.7749 0.4371
Tb: 0.5629 0.4599 0.2251
Tb: 0.6437 0.7967 0.9864
Tb: 0.7749 0.4371 0.5401
Tb: 0.7967 0.9864 0.6437
Tb: 0.9864 0.6437 0.7967
Sm: 0.0920 0.2596 0.6914
Sm: 0.2596 0.6914 0.0920
Sm: 0.3086 0.9080 0.7404
Sm: 0.6914 0.0920 0.2596
Sm: 0.7404 0.3086 0.9080
Sm: 0.9080 0.7404 0.3086
Y: 0.0000 0.0000 0.0000


Ordering by calculated energy gives the sequence ii), i), with the first entry being the most stable.


i) The following is a GGA-PBE calculation of crystalline TbSm6Y2 at its relaxed geometry, from the Alexandria database.

Cell: 12.0425 12.0425 6.0216 Å, 104.12 104.12 125.07°
Fractional coordinates of all 18 atoms:
Tb: 0.0087 0.9913 0.7500
Tb: 0.9913 0.0087 0.2500
Sm: 0.0744 0.7812 0.4230
Sm: 0.1541 0.5970 0.8782
Sm: 0.2188 0.9256 0.0770
Sm: 0.3193 0.4224 0.8740
Sm: 0.4030 0.8459 0.6218
Sm: 0.4224 0.3193 0.3740
Sm: 0.5776 0.6807 0.6260
Sm: 0.5970 0.1541 0.3782
Sm: 0.6807 0.5776 0.1260
Sm: 0.7812 0.0744 0.9230
Sm: 0.8459 0.4030 0.1218
Sm: 0.9256 0.2188 0.5770
Y: 0.1675 0.4246 0.3011
Y: 0.4246 0.1675 0.8011
Y: 0.5754 0.8325 0.1989
Y: 0.8325 0.5754 0.6989


ii) The following is a GGA-PBE calculation of crystalline TbSm6Y2 at its relaxed geometry, from the Alexandria database.

Cell: 7.5404 7.5404 6.1891 Å, 90.08 90.08 59.93°
Fractional coordinates of all 9 atoms:
Tb: 0.0000 0.0000 0.0000
Sm: 0.1881 0.1881 0.2932
Sm: 0.1877 0.6242 0.2936
Sm: 0.3758 0.8123 0.7064
Sm: 0.6242 0.1877 0.2936
Sm: 0.8123 0.3758 0.7064
Sm: 0.8119 0.8119 0.7068
Y: 0.3336 0.3336 0.7898
Y: 0.6664 0.6664 0.2102


Ordering by calculated energy gives the sequence i), ii), with the first entry being the most stable.


i) The following is a GGA-PBE calculation of crystalline Tb6SmY2 at its relaxed geometry, from the Alexandria database.

Cell: 6.0502 6.0502 15.2783 Å, 100.90 100.90 33.33°
Fractional coordinates of all 9 atoms:
Tb: 0.0400 0.0400 0.2311
Tb: 0.2943 0.2943 0.1038
Tb: 0.3732 0.3732 0.5633
Tb: 0.6268 0.6268 0.4367
Tb: 0.7057 0.7057 0.8962
Tb: 0.9600 0.9600 0.7689
Sm: 0.0000 0.0000 0.0000
Y: 0.3330 0.3330 0.3336
Y: 0.6670 0.6670 0.6664


ii) The following is a GGA-PBE calculation of crystalline Tb6SmY2 at its relaxed geometry, from the Alexandria database.

Cell: 7.4276 7.4276 6.1352 Å, 90.00 90.00 120.00°
Fractional coordinates of all 9 atoms:
Tb: 0.1873 0.3745 0.2029
Tb: 0.1873 0.8127 0.2029
Tb: 0.3745 0.1873 0.7971
Tb: 0.6255 0.8127 0.2029
Tb: 0.8127 0.1873 0.7971
Tb: 0.8127 0.6255 0.7971
Sm: 0.0000 0.0000 0.5000
Y: 0.3333 0.6667 0.7082
Y: 0.6667 0.3333 0.2918


Ordering by calculated energy gives the sequence i), ii), with the first entry being the most stable.


i) The following is a GGA-PBE calculation of crystalline Tb3Sm2Zn2 at its relaxed geometry, from the Alexandria database.

Cell: 6.2197 6.2197 8.1510 Å, 114.61 114.61 44.70°
Fractional coordinates of all 7 atoms:
Tb: 0.0000 0.0000 0.0000
Tb: 0.1343 0.1343 0.4644
Tb: 0.8657 0.8657 0.5356
Sm: 0.3637 0.3637 0.2070
Sm: 0.6363 0.6363 0.7930
Zn: 0.3550 0.3550 0.8114
Zn: 0.6450 0.6450 0.1886


ii) The following is a GGA-PBE calculation of crystalline Tb3Sm2Zn2 at its relaxed geometry, from the Alexandria database.

Cell: 15.2942 15.2942 3.5637 Å, 90.00 90.00 166.37°
Fractional coordinates of all 7 atoms:
Tb: 0.0000 0.0000 0.0000
Tb: 0.4168 0.5832 0.5000
Tb: 0.5832 0.4168 0.5000
Sm: 0.3005 0.6995 0.5000
Sm: 0.6995 0.3005 0.5000
Zn: 0.1400 0.8600 0.0000
Zn: 0.8600 0.1400 0.0000


Ordering by calculated energy gives the sequence ii), i), with the first entry being the most stable.


i) The following is a GGA-PBE calculation of crystalline TbSm3Zn2 at its relaxed geometry, from the Alexandria database.

Cell: 8.7997 8.7997 8.7997 Å, 133.18 70.16 130.93°
Fractional coordinates of all 12 atoms:
Tb: 0.0000 0.0000 0.0000
Tb: 0.5000 0.5000 0.0000
Sm: 0.0224 0.2500 0.7724
Sm: 0.2500 0.7500 0.5000
Sm: 0.4776 0.2500 0.2276
Sm: 0.5224 0.7500 0.7724
Sm: 0.7500 0.2500 0.5000
Sm: 0.9776 0.7500 0.2276
Zn: 0.1380 0.7056 0.8436
Zn: 0.3620 0.2056 0.5676
Zn: 0.6380 0.7944 0.4324
Zn: 0.8620 0.2944 0.1564


ii) The following is a GGA-PBE calculation of crystalline TbSm3Zn2 at its relaxed geometry, from the Alexandria database.

Cell: 3.6391 3.6391 12.2928 Å, 90.00 90.00 90.00°
Fractional coordinates of all 6 atoms:
Tb: 0.0000 0.0000 0.0000
Sm: 0.5000 0.5000 0.2070
Sm: 0.5000 0.5000 0.5000
Sm: 0.5000 0.5000 0.7930
Zn: 0.0000 0.0000 0.3536
Zn: 0.0000 0.0000 0.6464


Ordering by calculated energy gives the sequence ii), i), with the first entry being the most stable.


i) The following is a GGA-PBE calculation of crystalline TbSm4Zn at its relaxed geometry, from the Alexandria database.

Cell: 8.1727 8.1727 6.3388 Å, 100.10 100.10 113.64°
Fractional coordinates of all 12 atoms:
Tb: 0.0936 0.9064 0.7500
Tb: 0.9064 0.0936 0.2500
Sm: 0.1102 0.3347 0.8753
Sm: 0.2140 0.5790 0.4502
Sm: 0.3347 0.1102 0.3753
Sm: 0.4210 0.7860 0.0498
Sm: 0.5790 0.2140 0.9502
Sm: 0.6653 0.8898 0.6247
Sm: 0.7860 0.4210 0.5498
Sm: 0.8898 0.6653 0.1247
Zn: 0.5003 0.4997 0.2500
Zn: 0.4997 0.5003 0.7500


ii) The following is a GGA-PBE calculation of crystalline TbSm4Zn at its relaxed geometry, from the Alexandria database.

Cell: 3.6221 3.6221 13.8702 Å, 90.00 90.00 90.00°
Fractional coordinates of all 6 atoms:
Tb: 0.0000 0.0000 0.0000
Sm: 0.0000 0.0000 0.3690
Sm: 0.0000 0.0000 0.6310
Sm: 0.5000 0.5000 0.1817
Sm: 0.5000 0.5000 0.8183
Zn: 0.5000 0.5000 0.5000


Ordering by calculated energy gives the sequence ii), i), with the first entry being the most stable.


i) The following is a GGA-PBE calculation of crystalline TbSmZn4 at its relaxed geometry, from the Alexandria database.

Cell: 5.7424 5.7424 5.7424 Å, 133.68 103.52 94.33°
Fractional coordinates of all 6 atoms:
Tb: 0.0000 0.0000 0.0000
Sm: 0.5000 0.0000 0.5000
Zn: 0.0817 0.3335 0.7482
Zn: 0.4147 0.6665 0.7482
Zn: 0.5853 0.3335 0.2518
Zn: 0.9183 0.6665 0.2518


ii) The following is a GGA-PBE calculation of crystalline TbSmZn4 at its relaxed geometry, from the Alexandria database.

Cell: 5.5035 5.5035 5.5035 Å, 60.00 60.00 60.00°
Fractional coordinates of all 6 atoms:
Tb: 0.0000 0.0000 0.0000
Sm: 0.7500 0.7500 0.7500
Zn: 0.3749 0.3749 0.3749
Zn: 0.3749 0.3749 0.8753
Zn: 0.3749 0.8753 0.3749
Zn: 0.8753 0.3749 0.3749


Ordering by calculated energy gives the sequence i), ii), with the first entry being the most stable.


i) The following is a GGA-PBE calculation of crystalline Tb2SmZr at its relaxed geometry, from the Alexandria database.

Cell: 3.4804 3.4804 11.4961 Å, 98.74 98.74 59.95°
Fractional coordinates of all 4 atoms:
Tb: 0.0000 0.0000 0.0000
Tb: 0.1773 0.1773 0.5335
Sm: 0.4212 0.4212 0.2666
Zr: 0.5880 0.5880 0.7667


ii) The following is a GGA-PBE calculation of crystalline Tb2SmZr at its relaxed geometry, from the Alexandria database.

Cell: 5.5298 5.5298 5.5298 Å, 60.00 60.00 60.00°
Fractional coordinates of all 4 atoms:
Tb: 0.2500 0.2500 0.2500
Tb: 0.7500 0.7500 0.7500
Sm: 0.0000 0.0000 0.0000
Zr: 0.5000 0.5000 0.5000


Ordering by calculated energy gives the sequence i), ii), with the first entry being the most stable.


i) The following is a GGA-PBE calculation of crystalline Tb2SmZr at its relaxed geometry, from the Alexandria database.

Cell: 12.2161 12.2161 12.2161 Å, 15.91 15.91 15.91°
Fractional coordinates of all 4 atoms:
Tb: 0.0856 0.0856 0.0856
Tb: 0.9144 0.9144 0.9144
Sm: 0.5000 0.5000 0.5000
Zr: 0.0000 0.0000 0.0000


ii) The following is a GGA-PBE calculation of crystalline Tb2SmZr at its relaxed geometry, from the Alexandria database.

Cell: 4.8950 4.8950 4.9128 Å, 90.00 90.00 90.00°
Fractional coordinates of all 4 atoms:
Tb: 0.0000 0.5000 0.0000
Tb: 0.5000 0.0000 0.0000
Sm: 0.0000 0.0000 0.5000
Zr: 0.5000 0.5000 0.5000


Ordering by calculated energy gives the sequence ii), i), with the first entry being the most stable.